No. 1
A geometry-optimized DyHoEr2Sc5 structure, computed with PBE.

The structure in CIF format:
```
data_DyHoEr2Sc5
_cell_length_a 5.3107
_cell_length_b 18.5104
_cell_length_c 10.2444
_cell_angle_alpha 90.00
_cell_angle_beta 90.00
_cell_angle_gamma 90.00
_space_group_name_H-M_alt 'C m c 21'
_space_group_IT_number 36
loop_
_space_group_symop_operation_xyz
'x,y,z'
'-x,-y,z+1/2'
'-x,y,z'
'x,-y,z+1/2'
'x+1/2,y+1/2,z'
'-x+1/2,-y+1/2,z+1/2'
'-x+1/2,y+1/2,z'
'x+1/2,-y+1/2,z+1/2'
loop_
_atom_site_label
_atom_site_type_symbol
_atom_site_fract_x
_atom_site_fract_y
_atom_site_fract_z
Dy1 Dy 0.0000 0.0822 0.0000
Ho1 Ho 0.0000 0.2930 0.5525
Er1 Er 0.0000 0.3875 0.8652
Er2 Er 0.0000 0.3913 0.2731
Sc1 Sc 0.0000 0.0216 0.2758
Sc2 Sc 0.0000 0.1029 0.5640
Sc3 Sc 0.0000 0.2008 0.2536
Sc4 Sc 0.0000 0.2144 0.8438
Sc5 Sc 0.0000 0.4792 0.5728
```

Results
- E_tot: -5.382 eV/atom
- N(E_F): 16.17 states/eV/f.u.
- Magnetic moment: 0.00 μB per formula unit
- Energy relative to the elements: 0.169 eV/atom

***

No. 2
A geometry-optimized Ac2EuZn structure, computed with PBE.

The structure in CIF format:
```
data_Ac2EuZn
_cell_length_a 3.9551
_cell_length_b 3.9551
_cell_length_c 9.4417
_cell_angle_alpha 90.00
_cell_angle_beta 90.00
_cell_angle_gamma 90.00
_space_group_name_H-M_alt 'P 4/m m m'
_space_group_IT_number 123
_space_group_name_Hall '-P 4 2'
loop_
_atom_site_label
_atom_site_type_symbol
_atom_site_fract_x
_atom_site_fract_y
_atom_site_fract_z
Ac1 Ac 0.0000 0.0000 0.1994
Eu1 Eu 0.5000 0.5000 0.5000
Zn1 Zn 0.5000 0.5000 0.0000
```

Results
- E_tot: -5.052 eV/atom
- N(E_F): 3.99 states/eV/f.u.
- ΔE to the lowest computed polymorph: 0.0 kJ per mole of atoms
- Magnetic moment: 7.86 μB per formula unit
- Energy relative to the elements: -0.111 eV/atom

***

No. 3
A geometry-optimized BeMoPt2 structure, computed with PBE.

The structure in CIF format:
```
data_BeMoPt2
_cell_length_a 3.8201
_cell_length_b 3.8201
_cell_length_c 16.9970
_cell_angle_alpha 90.00
_cell_angle_beta 90.00
_cell_angle_gamma 90.00
_space_group_name_H-M_alt 'I -4 2 d'
_space_group_IT_number 122
_space_group_name_Hall 'I -4 2bw'
loop_
_atom_site_label
_atom_site_type_symbol
_atom_site_fract_x
_atom_site_fract_y
_atom_site_fract_z
Be1 Be 0.0000 0.0000 0.0000
Mo1 Mo 0.0000 0.0000 0.5000
Pt1 Pt 0.2387 0.2500 0.1250
```

Results
- E_tot: -6.519 eV/atom
- N(E_F): 2.55 states/eV/f.u.
- Magnetic moment: 0.00 μB per formula unit
- Energy relative to the elements: 0.140 eV/atom

***

Question: Number 3 is which compound?
Answer: BeMoPt2

***

Please write out number 1 again, unchanged.
A geometry-optimized DyHoEr2Sc5 structure, computed with PBE.

The structure in CIF format:
```
data_DyHoEr2Sc5
_cell_length_a 5.3107
_cell_length_b 18.5104
_cell_length_c 10.2444
_cell_angle_alpha 90.00
_cell_angle_beta 90.00
_cell_angle_gamma 90.00
_space_group_name_H-M_alt 'C m c 21'
_space_group_IT_number 36
loop_
_space_group_symop_operation_xyz
'x,y,z'
'-x,-y,z+1/2'
'-x,y,z'
'x,-y,z+1/2'
'x+1/2,y+1/2,z'
'-x+1/2,-y+1/2,z+1/2'
'-x+1/2,y+1/2,z'
'x+1/2,-y+1/2,z+1/2'
loop_
_atom_site_label
_atom_site_type_symbol
_atom_site_fract_x
_atom_site_fract_y
_atom_site_fract_z
Dy1 Dy 0.0000 0.0822 0.0000
Ho1 Ho 0.0000 0.2930 0.5525
Er1 Er 0.0000 0.3875 0.8652
Er2 Er 0.0000 0.3913 0.2731
Sc1 Sc 0.0000 0.0216 0.2758
Sc2 Sc 0.0000 0.1029 0.5640
Sc3 Sc 0.0000 0.2008 0.2536
Sc4 Sc 0.0000 0.2144 0.8438
Sc5 Sc 0.0000 0.4792 0.5728
```

Results
- E_tot: -5.382 eV/atom
- N(E_F): 16.17 states/eV/f.u.
- Magnetic moment: 0.00 μB per formula unit
- Energy relative to the elements: 0.169 eV/atom

***

Question: Which of these has the lowest energy relative to the elements?
Answer: Ac2EuZn